# 1
{"formula": "SrSb2AsF", "functional": "GGA-PBEsol", "state": "relaxed", "crystal_system": "tetragonal", "e_form_raw_ev_per_fu": 4.03, "cell": [[5.909, 0.000, 0.000], [0.000, 5.909, 0.000], [0.000, 0.000, 5.480]], "species": ["Sr", "Sb", "Sb", "As", "F"], "frac_coords": [[0.000, 0.000, 0.000], [0.000, 0.500, 0.000], [0.500, 0.000, 0.000], [0.000, 0.000, 0.500], [0.500, 0.500, 0.500]]}

---

# 2
{"formula": "Sc3AsF", "functional": "GGA-PBEsol", "state": "relaxed", "crystal_system": "cubic", "e_form_raw_ev_per_fu": -1.70, "cell": [[5.038, 0.000, 0.000], [0.000, 5.038, 0.000], [0.000, 0.000, 5.038]], "species": ["Sc", "Sc", "Sc", "As", "F"], "frac_coords": [[0.000, 0.000, 0.500], [0.000, 0.500, 0.000], [0.500, 0.000, 0.000], [0.000, 0.000, 0.000], [0.500, 0.500, 0.500]]}

---

# 3
{"formula": "AsSe3F", "functional": "GGA-PBEsol", "state": "relaxed", "crystal_system": "cubic", "e_form_raw_ev_per_fu": 2.50, "cell": [[4.914, 0.000, 0.000], [0.000, 4.914, 0.000], [0.000, 0.000, 4.914]], "species": ["As", "Se", "Se", "Se", "F"], "frac_coords": [[0.000, 0.000, 0.000], [0.000, 0.000, 0.500], [0.000, 0.500, 0.000], [0.500, 0.000, 0.000], [0.500, 0.500, 0.500]]}

---

# 4
{"formula": "Si3AsF", "functional": "GGA-PBEsol", "state": "relaxed", "crystal_system": "cubic", "e_form_raw_ev_per_fu": 2.20, "cell": [[4.398, 0.000, 0.000], [0.000, 4.398, 0.000], [0.000, 0.000, 4.398]], "species": ["Si", "Si", "Si", "As", "F"], "frac_coords": [[0.000, 0.000, 0.500], [0.000, 0.500, 0.000], [0.500, 0.000, 0.000], [0.500, 0.500, 0.500], [0.000, 0.000, 0.000]]}

---

# 5
{"formula": "SnAs2F", "functional": "GGA-PBEsol", "state": "relaxed", "crystal_system": "tetragonal", "e_form_raw_ev_per_fu": -2.14, "cell": [[-1.862, 1.862, 11.171], [1.862, -1.862, 11.171], [1.862, 1.862, -11.171]], "species": ["Sn", "Sn", "As", "As", "As", "As", "F", "F"], "frac_coords": [[0.000, 0.000, 0.000], [0.750, 0.250, 0.500], [0.157, 0.625, 0.032], [0.375, 0.407, 0.532], [0.593, 0.125, 0.968], [0.875, 0.843, 0.468], [0.250, 0.750, 0.500], [0.500, 0.500, 0.000]]}

---

# 6
{"formula": "SrZnAsF", "functional": "GGA-PBEsol", "state": "relaxed", "crystal_system": "tetragonal", "e_form_raw_ev_per_fu": -7.65, "cell": [[4.072, 0.000, 0.000], [0.000, 4.072, 0.000], [0.000, 0.000, 9.029]], "species": ["Sr", "Sr", "Zn", "Zn", "As", "As", "F", "F"], "frac_coords": [[0.250, 0.250, 0.155], [0.750, 0.750, 0.845], [0.250, 0.750, 0.500], [0.750, 0.250, 0.500], [0.250, 0.250, 0.671], [0.750, 0.750, 0.329], [0.250, 0.750, 0.000], [0.750, 0.250, 0.000]]}

---

# 7
{"formula": "TaAs2F", "functional": "GGA-PBEsol", "state": "relaxed", "crystal_system": "tetragonal", "e_form_raw_ev_per_fu": 0.13, "cell": [[-2.790, 2.790, 5.623], [2.790, -2.790, 5.623], [2.790, 2.790, -5.623]], "species": ["Ta", "Ta", "As", "As", "As", "As", "F", "F"], "frac_coords": [[0.000, 0.000, 0.000], [0.750, 0.250, 0.500], [0.134, 0.625, 0.009], [0.375, 0.384, 0.509], [0.616, 0.125, 0.991], [0.875, 0.866, 0.491], [0.250, 0.750, 0.500], [0.500, 0.500, 0.000]]}

---

# 8
{"formula": "Ta2AsF", "functional": "GGA-PBEsol", "state": "relaxed", "crystal_system": "cubic", "e_form_raw_ev_per_fu": -1.92, "cell": [[0.000, 3.073, 3.073], [3.073, 0.000, 3.073], [3.073, 3.073, 0.000]], "species": ["Ta", "Ta", "As", "F"], "frac_coords": [[0.250, 0.250, 0.250], [0.750, 0.750, 0.750], [0.000, 0.000, 0.000], [0.500, 0.500, 0.500]]}

---

# 9
{"formula": "Te7As2F12", "functional": "GGA-PBEsol", "state": "relaxed", "crystal_system": "orthorhombic", "e_form_raw_ev_per_fu": -31.26, "cell": [[16.240, 0.000, 0.000], [0.000, 11.074, 0.000], [0.000, 0.000, 9.749]], "species": ["Te", "Te", "Te", "Te", "Te", "Te", "Te", "Te", "Te", "Te", "Te", "Te", "Te", "Te", "Te", "Te", "Te", "Te", "Te", "Te", "Te", "Te", "Te", "Te", "Te", "Te", "Te", "Te", "As", "As", "As", "As", "As", "As", "As", "As", "F", "F", "F", "F", "F", "F", "F", "F", "F", "F", "F", "F", "F", "F", "F", "F", "F", "F", "F", "F", "F", "F", "F", "F", "F", "F", "F", "F", "F", "F", "F", "F", "F", "F", "F", "F", "F", "F", "F", "F", "F", "F", "F", "F", "F", "F", "F", "F"], "frac_coords": [[0.000, 0.075, 0.248], [0.000, 0.425, 0.248], [0.000, 0.575, 0.752], [0.000, 0.925, 0.752], [0.015, 0.250, 0.599], [0.117, 0.580, 0.358], [0.117, 0.920, 0.358], [0.130, 0.026, 0.623], [0.130, 0.474, 0.623], [0.370, 0.526, 0.123], [0.370, 0.974, 0.123], [0.383, 0.080, 0.858], [0.383, 0.420, 0.858], [0.485, 0.750, 0.099], [0.500, 0.075, 0.252], [0.500, 0.425, 0.252], [0.500, 0.575, 0.748], [0.500, 0.925, 0.748], [0.515, 0.250, 0.901], [0.617, 0.580, 0.142], [0.617, 0.920, 0.142], [0.630, 0.026, 0.877], [0.630, 0.474, 0.877], [0.870, 0.526, 0.377], [0.870, 0.974, 0.377], [0.883, 0.080, 0.642], [0.883, 0.420, 0.642], [0.985, 0.750, 0.401], [0.168, 0.250, 0.015], [0.185, 0.750, 0.986], [0.315, 0.250, 0.486], [0.332, 0.750, 0.515], [0.668, 0.250, 0.485], [0.685, 0.750, 0.514], [0.815, 0.250, 0.014], [0.832, 0.750, 0.985], [0.060, 0.250, 0.999], [0.119, 0.638, 0.050], [0.119, 0.862, 0.050], [0.130, 0.750, 0.828], [0.162, 0.137, 0.143], [0.162, 0.363, 0.143], [0.176, 0.137, 0.888], [0.176, 0.363, 0.888], [0.223, 0.750, 0.532], [0.240, 0.750, 0.143], [0.249, 0.138, 0.422], [0.249, 0.362, 0.422], [0.251, 0.638, 0.922], [0.251, 0.862, 0.922], [0.260, 0.250, 0.643], [0.277, 0.250, 0.032], [0.324, 0.637, 0.388], [0.324, 0.863, 0.388], [0.338, 0.637, 0.643], [0.338, 0.863, 0.643], [0.370, 0.250, 0.328], [0.381, 0.138, 0.550], [0.381, 0.362, 0.550], [0.440, 0.750, 0.499], [0.560, 0.250, 0.501], [0.619, 0.638, 0.450], [0.619, 0.862, 0.450], [0.630, 0.750, 0.672], [0.662, 0.137, 0.357], [0.662, 0.363, 0.357], [0.676, 0.137, 0.612], [0.676, 0.363, 0.612], [0.723, 0.750, 0.968], [0.740, 0.750, 0.357], [0.749, 0.138, 0.078], [0.749, 0.362, 0.078], [0.751, 0.638, 0.578], [0.751, 0.862, 0.578], [0.760, 0.250, 0.857], [0.777, 0.250, 0.468], [0.824, 0.637, 0.112], [0.824, 0.863, 0.112], [0.838, 0.637, 0.857], [0.838, 0.863, 0.857], [0.870, 0.250, 0.172], [0.881, 0.138, 0.950], [0.881, 0.362, 0.950], [0.940, 0.750, 0.001]]}

---

# 10
{"formula": "TeAsF2", "functional": "GGA-PBEsol", "state": "relaxed", "crystal_system": "trigonal", "e_form_raw_ev_per_fu": -3.11, "cell": [[1.547, 0.893, 8.524], [-1.547, 0.893, 8.524], [0.000, -1.787, 8.524]], "species": ["Te", "As", "F", "F"], "frac_coords": [[0.000, 0.000, 0.000], [0.500, 0.500, 0.500], [0.081, 0.081, 0.081], [0.919, 0.919, 0.919]]}

---

# 11
{"formula": "ZnTeAs2F", "functional": "GGA-PBEsol", "state": "relaxed", "crystal_system": "tetragonal", "e_form_raw_ev_per_fu": 3.93, "cell": [[5.260, 0.000, 0.000], [0.000, 5.260, 0.000], [0.000, 0.000, 5.208]], "species": ["Zn", "Te", "As", "As", "F"], "frac_coords": [[0.000, 0.000, 0.000], [0.000, 0.000, 0.500], [0.000, 0.500, 0.500], [0.500, 0.000, 0.500], [0.500, 0.500, 0.000]]}

---

# 12
{"formula": "TiAs2F", "functional": "GGA-PBEsol", "state": "relaxed", "crystal_system": "cubic", "e_form_raw_ev_per_fu": -2.00, "cell": [[0.000, 3.114, 3.114], [3.114, 0.000, 3.114], [3.114, 3.114, 0.000]], "species": ["Ti", "As", "As", "F"], "frac_coords": [[0.000, 0.000, 0.000], [0.250, 0.250, 0.250], [0.750, 0.750, 0.750], [0.500, 0.500, 0.500]]}

---

# 13
{"formula": "TlAsF6", "functional": "GGA-PBEsol", "state": "relaxed", "crystal_system": "trigonal", "e_form_raw_ev_per_fu": -17.19, "cell": [[3.758, 2.170, 2.481], [-3.758, 2.170, 2.481], [0.000, -4.339, 2.481]], "species": ["Tl", "As", "F", "F", "F", "F", "F", "F"], "frac_coords": [[0.000, 0.000, 0.000], [0.500, 0.500, 0.500], [0.216, 0.577, 0.292], [0.292, 0.216, 0.577], [0.423, 0.708, 0.784], [0.577, 0.292, 0.216], [0.708, 0.784, 0.423], [0.784, 0.423, 0.708]]}

---

# 14
{"formula": "AsWF2", "functional": "GGA-PBEsol", "state": "relaxed", "crystal_system": "trigonal", "e_form_raw_ev_per_fu": -2.92, "cell": [[1.371, 0.791, 9.815], [-1.371, 0.791, 9.815], [0.000, -1.583, 9.815]], "species": ["As", "W", "F", "F"], "frac_coords": [[0.000, 0.000, 0.000], [0.500, 0.500, 0.500], [0.115, 0.115, 0.115], [0.885, 0.885, 0.885]]}

---

# 15
{"formula": "AsWF2", "functional": "GGA-PBEsol", "state": "relaxed", "crystal_system": "tetragonal", "e_form_raw_ev_per_fu": -2.25, "cell": [[-1.826, 1.826, 7.795], [1.826, -1.826, 7.795], [1.826, 1.826, -7.795]], "species": ["As", "As", "W", "W", "F", "F", "F", "F"], "frac_coords": [[0.000, 0.000, 0.000], [0.750, 0.250, 0.500], [0.250, 0.750, 0.500], [0.500, 0.500, 0.000], [0.187, 0.625, 0.062], [0.375, 0.437, 0.562], [0.563, 0.125, 0.938], [0.875, 0.813, 0.438]]}

---

# 16
{"formula": "Zr2AsF", "functional": "GGA-PBEsol", "state": "relaxed", "crystal_system": "cubic", "e_form_raw_ev_per_fu": -5.19, "cell": [[0.000, 3.196, 3.196], [3.196, 0.000, 3.196], [3.196, 3.196, 0.000]], "species": ["Zr", "Zr", "As", "F"], "frac_coords": [[0.250, 0.250, 0.250], [0.750, 0.750, 0.750], [0.000, 0.000, 0.000], [0.500, 0.500, 0.500]]}

---

# 17
{"formula": "FeAs2", "functional": "GGA-PBEsol", "state": "relaxed", "ef_mev_per_atom": 368.3, "crystal_system": "hexagonal", "cell": [[3.859, 0.000, 0.000], [-1.930, 3.342, 0.000], [0.000, 0.000, 7.490]], "species": ["Fe", "Fe", "As", "As", "As", "As"], "frac_coords": [[0.333, 0.667, 0.250], [0.667, 0.333, 0.750], [0.000, 0.000, 0.000], [0.000, 0.000, 0.500], [0.333, 0.667, 0.750], [0.667, 0.333, 0.250]]}

---

# 18
{"formula": "FeAs2", "functional": "GGA-PBEsol", "state": "relaxed", "ef_mev_per_atom": -76.4, "crystal_system": "cubic", "cell": [[0.000, 2.827, 2.827], [2.827, 0.000, 2.827], [2.827, 2.827, 0.000]], "species": ["Fe", "As", "As"], "frac_coords": [[0.000, 0.000, 0.000], [0.250, 0.250, 0.250], [0.750, 0.750, 0.750]]}

---

# 19
{"formula": "Fe3As", "functional": "GGA-PBEsol", "state": "relaxed", "ef_mev_per_atom": -56.2, "crystal_system": "cubic", "cell": [[0.000, 2.813, 2.813], [2.813, 0.000, 2.813], [2.813, 2.813, 0.000]], "species": ["Fe", "Fe", "Fe", "As"], "frac_coords": [[0.000, 0.000, 0.000], [0.250, 0.250, 0.250], [0.750, 0.750, 0.750], [0.500, 0.500, 0.500]]}

---

# 20
{"formula": "Fe8As", "functional": "GGA-PBEsol", "state": "relaxed", "ef_mev_per_atom": 67.7, "crystal_system": "tetragonal", "cell": [[-3.626, 3.626, 1.911], [3.626, -3.626, 1.911], [3.626, 3.626, -1.911]], "species": ["Fe", "Fe", "Fe", "Fe", "Fe", "Fe", "Fe", "Fe", "As"], "frac_coords": [[0.000, 0.335, 0.335], [0.000, 0.665, 0.665], [0.334, 0.334, 0.667], [0.334, 0.666, 0.000], [0.335, 0.000, 0.335], [0.665, 0.000, 0.665], [0.666, 0.334, 0.000], [0.666, 0.666, 0.333], [0.000, 0.000, 0.000]]}

---

# 21
{"formula": "FeAs2", "functional": "GGA-PBEsol", "state": "relaxed", "ef_mev_per_atom": -48.8, "crystal_system": "tetragonal", "cell": [[-1.417, 1.417, 5.746], [1.417, -1.417, 5.746], [1.417, 1.417, -5.746]], "species": ["Fe", "As", "As"], "frac_coords": [[0.000, 0.000, 0.000], [0.372, 0.372, 0.000], [0.628, 0.628, 0.000]]}

---

# 22
{"formula": "Fe2As", "functional": "GGA-PBEsol", "state": "relaxed", "ef_mev_per_atom": -107.1, "crystal_system": "hexagonal", "cell": [[5.967, 0.000, 0.000], [-2.983, 5.167, 0.000], [0.000, 0.000, 3.510]], "species": ["Fe", "Fe", "Fe", "Fe", "Fe", "Fe", "As", "As", "As"], "frac_coords": [[0.000, 0.411, 0.000], [0.000, 0.746, 0.500], [0.254, 0.254, 0.500], [0.411, 0.000, 0.000], [0.589, 0.589, 0.000], [0.746, 0.000, 0.500], [0.000, 0.000, 0.000], [0.333, 0.667, 0.500], [0.667, 0.333, 0.500]]}

---

# 23
{"formula": "FeAs2", "functional": "GGA-PBEsol", "state": "relaxed", "ef_mev_per_atom": -343.1, "crystal_system": "orthorhombic", "cell": [[5.247, 0.000, 0.000], [0.000, 5.905, 0.000], [0.000, 0.000, 2.841]], "species": ["Fe", "Fe", "As", "As", "As", "As"], "frac_coords": [[0.000, 0.000, 0.000], [0.500, 0.500, 0.500], [0.180, 0.360, 0.000], [0.320, 0.860, 0.500], [0.680, 0.140, 0.500], [0.820, 0.640, 0.000]]}